Ta3AgSe: relaxed, PBE-GGA.

final energy	-6.408	eV per atom
space group	Pm-3m, No. 221
uncorrected formation energy	1.97	eV per atom
N(E_F)	3.7	states/eV/f.u.

POSCAR file:
```
Ta3AgSe
1.0
4.919 0.000 0.000
0.000 4.919 0.000
0.000 0.000 4.919
Ta Ag Se
3 1 1
direct
0.000 0.000 0.500 Ta
0.000 0.500 0.000 Ta
0.500 0.000 0.000 Ta
0.000 0.000 0.000 Ag
0.500 0.500 0.500 Se
```

TaAg4Se: relaxed, PBE-GGA.

final energy	-3.846	eV per atom
space group	F-43m, No. 216
uncorrected formation energy	0.61	eV per atom
N(E_F)	4.6	states/eV/f.u.

POSCAR file:
```
TaAg4Se
1.0
0.000 3.858 3.858
3.858 0.000 3.858
3.858 3.858 0.000
Ta Ag Se
1 4 1
direct
0.000 0.000 0.000 Ta
0.125 0.625 0.625 Ag
0.625 0.125 0.625 Ag
0.625 0.625 0.125 Ag
0.625 0.625 0.625 Ag
0.250 0.250 0.250 Se
```

Ta2Ag2Se: relaxed, PBE-GGA.

final energy	-6.317	eV per atom
space group	P4/mbm, No. 127
uncorrected formation energy	0.26	eV per atom
N(E_F)	3.2	states/eV/f.u.

POSCAR file:
```
Ta2Ag2Se
1.0
6.597 0.000 0.000
0.000 6.597 0.000
0.000 0.000 4.455
Ta Ag Se
4 4 2
direct
0.149 0.351 0.000 Ta
0.351 0.851 0.000 Ta
0.649 0.149 0.000 Ta
0.851 0.649 0.000 Ta
0.150 0.650 0.500 Ag
0.350 0.150 0.500 Ag
0.650 0.850 0.500 Ag
0.850 0.350 0.500 Ag
0.000 0.000 0.000 Se
0.500 0.500 0.000 Se
```

Ta2AgSe: relaxed, PBE-GGA.

final energy	-6.947	eV per atom
space group	I-42d, No. 122
uncorrected formation energy	0.56	eV per atom
N(E_F)	5.1	states/eV/f.u.

POSCAR file:
```
Ta2AgSe
1.0
3.962 0.000 0.000
0.000 3.962 0.000
0.000 0.000 19.677
Ta Ag Se
8 4 4
direct
0.243 0.250 0.125 Ta
0.250 0.743 0.375 Ta
0.250 0.757 0.875 Ta
0.257 0.250 0.625 Ta
0.743 0.750 0.625 Ta
0.750 0.243 0.875 Ta
0.750 0.257 0.375 Ta
0.757 0.750 0.125 Ta
0.000 0.000 0.500 Ag
0.000 0.500 0.750 Ag
0.500 0.000 0.250 Ag
0.500 0.500 0.000 Ag
0.000 0.000 0.000 Se
0.000 0.500 0.250 Se
0.500 0.000 0.750 Se
0.500 0.500 0.500 Se
```

Ta2AgSe: relaxed, PBE-GGA.

final energy	-6.796	eV per atom
space group	F-43m, No. 216
uncorrected formation energy	0.71	eV per atom
N(E_F)	5.2	states/eV/f.u.

POSCAR file:
```
Ta2AgSe
1.0
6.676 0.000 0.000
0.000 6.676 0.000
0.000 0.000 6.676
Ta Ag Se
8 4 4
direct
0.000 0.000 0.000 Ta
0.000 0.500 0.500 Ta
0.250 0.250 0.250 Ta
0.250 0.750 0.750 Ta
0.500 0.000 0.500 Ta
0.500 0.500 0.000 Ta
0.750 0.250 0.750 Ta
0.750 0.750 0.250 Ta
0.000 0.000 0.500 Ag
0.000 0.500 0.000 Ag
0.500 0.000 0.000 Ag
0.500 0.500 0.500 Ag
0.250 0.250 0.750 Se
0.250 0.750 0.250 Se
0.750 0.250 0.250 Se
0.750 0.750 0.750 Se
```

Ta2AgSe: relaxed, PBE-GGA.

final energy	-7.303	eV per atom
space group	R-3m, No. 166
uncorrected formation energy	0.21	eV per atom
N(E_F)	2.3	states/eV/f.u.

POSCAR file:
```
Ta2AgSe
1.0
3.061 0.000 0.000
-1.530 2.651 0.000
0.000 0.000 26.605
Ta Ag Se
6 3 3
direct
0.000 0.000 0.243 Ta
0.000 0.000 0.757 Ta
0.333 0.667 0.424 Ta
0.333 0.667 0.910 Ta
0.667 0.333 0.090 Ta
0.667 0.333 0.576 Ta
0.000 0.000 0.000 Ag
0.333 0.667 0.667 Ag
0.667 0.333 0.333 Ag
0.000 0.000 0.500 Se
0.333 0.667 0.167 Se
0.667 0.333 0.833 Se
```